Here is KVZnF6 after structural relaxation from Alexandria via LeMat-Bulk. Energies are from GGA+U.

a = 7.2613 Å, b = 7.5741 Å, c = 7.4443 Å
α = 120.58°, β = 119.19°, γ = 90.00°
Site moments in Bohr magnetons follow the coordinates.
Fractional coordinates of all 18 atoms:
K1 0.9055 0.6555 0.8110  0.00
K2 0.0945 0.3445 0.1890  0.00
V1 0.5000 0.5000 0.0000  1.91
V2 0.5000 0.0000 0.0000  1.91
Zn1 0.5000 0.0000 0.5000  0.00
Zn2 0.0000 0.0000 0.5000  0.00
F1 0.4367 0.6867 0.8734  0.01
F2 0.8295 0.0795 0.6589  0.00
F3 0.8178 0.0769 0.2458  0.00
F4 0.4281 0.6689 0.2458  0.00
F5 0.4281 0.0769 0.2458  0.00
F6 0.8178 0.6689 0.2458  0.00
F7 0.5633 0.3133 0.1266  0.01
F8 0.1705 0.9205 0.3411  0.00
F9 0.1822 0.9231 0.7542  0.00
F10 0.5719 0.3311 0.7542  0.00
F11 0.5719 0.9231 0.7542  0.00
F12 0.1822 0.3311 0.7542  0.00

Properties
Total magnetic moment = 2.00 μB per formula unit
Final energy = -90.76 eV/cell